Record 1
Compound: Hf2Sc3Co2
Source: the Alexandria database
Functional: PBE
Structure: relaxed

Unit cell a=5.743 b=5.743 c=8.251 alpha=114.04 beta=114.04 gamma=33.07
Positions (direct):
Hf1 0.166 0.166 0.318
Hf2 0.834 0.834 0.682
Sc1 0.384 0.384 0.066
Sc2 0.500 0.500 0.500
Sc3 0.616 0.616 0.934
Co1 0.181 0.181 0.732
Co2 0.819 0.819 0.268

Output
total energy = -7.81 eV/atom
E_form = -227 meV/atom
M_tot = 0.00 Bohr magnetons per cell



Record 2
Compound: CaAs4W
Source: the Alexandria database
Functional: PBE
Structure: relaxed

Unit cell a=5.541 b=5.541 c=5.541 alpha=60.00 beta=60.00 gamma=60.00
Positions (direct):
Ca1 0.000 0.000 0.000
As1 0.377 0.377 0.377
As2 0.377 0.377 0.869
As3 0.377 0.869 0.377
As4 0.869 0.377 0.377
W1 0.750 0.750 0.750

Output
total energy = -5.00 eV/atom
E_form = 588 meV/atom
M_tot = 0.00 Bohr magnetons per cell



Record 3
Compound: Nd8Tl2Ag3
Source: the Alexandria database
Functional: PBE
Structure: relaxed

Unit cell a=8.796 b=8.796 c=6.485 alpha=95.23 beta=95.23 gamma=56.24
Positions (direct):
Nd1 0.087 0.087 0.382
Nd2 0.100 0.679 0.117
Nd3 0.321 0.900 0.883
Nd4 0.323 0.323 0.660
Nd5 0.677 0.677 0.340
Nd6 0.679 0.100 0.117
Nd7 0.900 0.321 0.883
Nd8 0.913 0.913 0.618
Tl1 0.260 0.260 0.162
Tl2 0.740 0.740 0.838
Ag1 0.334 0.666 0.500
Ag2 0.500 0.500 0.000
Ag3 0.666 0.334 0.500

Output
total energy = -4.01 eV/atom
E_form = -53 meV/atom
M_tot = 0.00 Bohr magnetons per cell



E_form of number 3 (Nd8Tl2Ag3)?
-53 meV/atom